1.
VASP calculation (PBE-GGA) on CeErPbAu after structural relaxation.

abc: 5.3268 5.3268 5.3268
angles: 60.00 60.00 60.00
Last column: nearest neighbours and their distance in Å.
Element x y z (fractional)
Pb  0.5000  0.5000  0.5000  4 Er 3.26, 4 Ce 3.26
Au  0.0000  0.0000  0.0000  4 Ce 3.26, 4 Er 3.26
Ce  0.2500  0.2500  0.2500  4 Pb 3.26, 4 Au 3.26
Er  0.7500  0.7500  0.7500  4 Pb 3.26, 4 Au 3.26

Values from the calculation:
V in A^3/atom: 26.720
Theoretical density in g/cm3: 11.05
SG: No. 216
Total energy in eV per atom: -4.8836

=====

2.
VASP calculation (PBE-GGA) on Ba3Pt2 after structural relaxation.

abc: 11.5594 11.5594 11.5594
angles: 23.07 23.07 23.07
Last column: nearest neighbours and their distance in Å.
Element x y z (fractional)
Ba  0.0000  0.0000  0.0000  6 Pt 3.29
Ba  0.2292  0.2292  0.2292  3 Pt 3.11
Ba  0.7708  0.7708  0.7708  3 Pt 3.11
Pt  0.3902  0.3902  0.3902  6 Ba 3.11-3.29
Pt  0.6098  0.6098  0.6098  6 Ba 3.11-3.29

Values from the calculation:
V in A^3/atom: 41.629
Theoretical density in g/cm3: 6.40
SG: No. 166
Total energy in eV per atom: -4.2177

=====

3.
VASP calculation (PBE-GGA) on Ho3ZnIn3 after structural relaxation.

abc: 4.5966 6.0363 14.2396
angles: 83.53 80.71 67.62
Last column: nearest neighbours and their distance in Å.
Element x y z (fractional)
Ho  0.5367  0.3096  0.6171  7 In 3.15-3.43, 3 Zn 3.25-3.29
Ho  0.4633  0.6904  0.3829  7 In 3.15-3.43, 3 Zn 3.25-3.29
Ho  0.2635  0.2489  0.2240  6 In 3.15-3.35, 2 Zn 3.29
Ho  0.7365  0.7511  0.7760  6 In 3.15-3.35, 2 Zn 3.29
Ho  0.4027  0.2755  0.9191  7 In 3.10-3.38
Ho  0.5973  0.7245  0.0809  7 In 3.10-3.38
Zn  0.7572  0.1016  0.3840  4 In 2.69-2.97
Zn  0.2428  0.8984  0.6160  4 In 2.69-2.97
In  0.8612  0.7325  0.5451  3 Zn 2.69-2.97, 1 In 2.95
In  0.1388  0.2675  0.4549  3 Zn 2.69-2.97, 1 In 2.95
In  0.1221  0.8299  0.9259  2 In 2.90-2.93, 5 Ho 3.10-3.20
In  0.8779  0.1701  0.0741  2 In 2.90-2.93, 5 Ho 3.10-3.20
In  0.9768  0.8114  0.2350  1 Zn 2.72, 1 In 2.93
In  0.0232  0.1886  0.7650  1 Zn 2.72, 1 In 2.93

Values from the calculation:
V in A^3/atom: 25.713
Theoretical density in g/cm3: 8.35
SG: No. 12
Total energy in eV per atom: -3.7249

=====

4.
VASP calculation (PBE-GGA) on Y2FeAu after structural relaxation.

abc: 4.8856 4.8856 4.8856
angles: 60.00 60.00 60.00
Last column: nearest neighbours and their distance in Å.
Element x y z (fractional)
Au  0.5000  0.5000  0.5000  4 Fe 2.99, 4 Y 2.99
Fe  0.7500  0.7500  0.7500  4 Au 2.99, 4 Y 2.99
Y  0.0000  0.0000  0.0000  4 Fe 2.99, 4 Y 2.99
Y  0.2500  0.2500  0.2500  4 Y 2.99, 4 Au 2.99

Values from the calculation:
V in A^3/atom: 20.615
Theoretical density in g/cm3: 8.67
SG: No. 216
Total energy in eV per atom: -6.1736

=====

5.
VASP calculation (PBE-GGA) on ScNi4Ge2 after structural relaxation.

abc: 3.7543 7.1219 7.1219
angles: 90.00 90.00 90.00
Last column: nearest neighbours and their distance in Å.
Element x y z (fractional)
Sc  0.5000  0.0000  0.0000  6 Ge 2.84-2.89, 12 Ni 3.13-3.15
Sc  0.0000  0.5000  0.5000  6 Ge 2.84-2.89, 12 Ni 3.13-3.15
Ni  0.0000  0.0888  0.3447  3 Ge 2.36-2.37, 6 Ni 2.55-2.60
Ni  0.0000  0.9112  0.6553  3 Ge 2.36-2.37, 6 Ni 2.55-2.60
Ni  0.5000  0.1553  0.5888  3 Ge 2.36-2.37, 6 Ni 2.55-2.60
Ni  0.5000  0.8447  0.4112  3 Ge 2.36-2.37, 6 Ni 2.55-2.60
Ni  0.5000  0.4112  0.8447  3 Ge 2.36-2.37, 6 Ni 2.55-2.60
Ni  0.5000  0.5888  0.1553  3 Ge 2.36-2.37, 6 Ni 2.55-2.60
Ni  0.0000  0.3447  0.0888  3 Ge 2.36-2.37, 6 Ni 2.55-2.60
Ni  0.0000  0.6553  0.9112  3 Ge 2.36-2.37, 6 Ni 2.55-2.60
Ge  0.0000  0.2180  0.7820  6 Ni 2.36-2.37
Ge  0.0000  0.7820  0.2180  6 Ni 2.36-2.37
Ge  0.5000  0.7180  0.7180  6 Ni 2.36-2.37
Ge  0.5000  0.2821  0.2821  6 Ni 2.36-2.37

Values from the calculation:
V in A^3/atom: 13.602
Theoretical density in g/cm3: 7.41
SG: No. 136
Total energy in eV per atom: -6.0293
Excess energy over the best structure of this formula in the dataset in kJ/mol of formula units: 0

=====

6.
VASP calculation (PBE-GGA) on KAgAs2O6 after structural relaxation.

abc: 5.0941 8.1908 8.1908
angles: 93.35 84.62 84.62
Last column: nearest neighbours and their distance in Å.
Element x y z (fractional)
K  0.2500  0.8850  0.1150  6 O 2.78-2.90
K  0.7500  0.1150  0.8850  6 O 2.78-2.90
Ag  0.2500  0.3135  0.6865  2 O 2.20
Ag  0.7500  0.6865  0.3135  2 O 2.20
As  0.2805  0.7984  0.6330  4 O 1.67-1.82
As  0.2195  0.3670  0.2016  4 O 1.67-1.82
As  0.7195  0.2016  0.3670  4 O 1.67-1.82
As  0.7805  0.6330  0.7984  4 O 1.67-1.82
O  0.2463  0.9577  0.7726  1 As 1.67
O  0.2537  0.2274  0.0423  1 As 1.67
O  0.7537  0.0423  0.2274  1 As 1.67
O  0.7463  0.7726  0.9577  1 As 1.67
O  0.3799  0.8191  0.4343  1 As 1.68
O  0.1201  0.5657  0.1809  1 As 1.68
O  0.6201  0.1809  0.5657  1 As 1.68
O  0.8799  0.4343  0.8191  1 As 1.68
O  0.9730  0.7050  0.6234  2 As 1.81-1.82
O  0.5270  0.3766  0.2950  2 As 1.81-1.82
O  0.0270  0.2950  0.3766  2 As 1.81-1.82
O  0.4730  0.6234  0.7050  2 As 1.81-1.82

Values from the calculation:
V in A^3/atom: 16.898
Theoretical density in g/cm3: 3.86
SG: No. 15
Raw formation energy in eV/atom: -1.16
Total energy in eV per atom: -5.4594

=====

7.
VASP calculation (PBE-GGA) on Ac6Rh2Br2N after structural relaxation.

abc: 7.3085 7.3085 8.3158
angles: 99.02 99.02 118.62
Last column: nearest neighbours and their distance in Å.
Element x y z (fractional)
Ac  0.7369  0.7369  0.7006  1 N 2.94, 2 Rh 2.95
Ac  0.0668  0.3719  0.6933  1 N 2.71, 2 Rh 2.93-3.01
Ac  0.2631  0.2631  0.2994  1 N 2.94, 2 Rh 2.95
Ac  0.3719  0.0668  0.6933  1 N 2.71, 2 Rh 2.93-3.01
Ac  0.9332  0.6281  0.3067  1 N 2.71, 2 Rh 2.93-3.01
Ac  0.6281  0.9332  0.3067  1 N 2.71, 2 Rh 2.93-3.01
Rh  0.3294  0.6706  0.5000  6 Ac 2.93-3.01
Rh  0.6706  0.3294  0.5000  6 Ac 2.93-3.01
Br  0.8218  0.1782  0.0000  6 Ac 3.44-3.48
Br  0.1782  0.8218  0.0000  6 Ac 3.44-3.48
N  0.0000  0.0000  0.5000  6 Ac 2.71-2.94

Values from the calculation:
V in A^3/atom: 33.730
Theoretical density in g/cm3: 7.79
SG: No. 12
Raw formation energy in eV/atom: -0.95
Total energy in eV per atom: -5.5899

=====

8.
VASP calculation (PBE-GGA) on CdSi2Au after structural relaxation.

abc: 7.6164 7.6164 6.0277
angles: 50.82 50.82 90.00
Last column: nearest neighbours and their distance in Å.
Element x y z (fractional)
Si  0.6645  0.1250  0.2500  2 Au 2.58, 2 Si 2.77
Si  0.0855  0.6250  0.2500  2 Au 2.58, 2 Si 2.77
Si  0.3750  0.3355  0.7500  2 Au 2.58, 2 Si 2.77
Si  0.8750  0.9145  0.7500  2 Au 2.58, 2 Si 2.77
Au  0.0000  0.0000  0.0000  4 Si 2.58, 2 Cd 2.71
Au  0.7500  0.2500  0.5000  4 Si 2.58, 2 Cd 2.71
Cd  0.5000  0.5000  0.0000  2 Au 2.71, 4 Si 2.99
Cd  0.2500  0.7500  0.5000  2 Au 2.71, 4 Si 2.99

Values from the calculation:
V in A^3/atom: 19.629
Theoretical density in g/cm3: 7.73
SG: No. 122
Raw formation energy in eV/atom: 0.33
Total energy in eV per atom: -3.4328